Entry 1:
The following is a GGA-PBE calculation of a geometry-optimized ZrAs3 structure, from the Alexandria database.

abc: 5.8609 5.8609 10.4498
angles: 90.00 90.00 120.00
Element x y z (fractional)
Zr 0.0000 0.0000 0.0000
Zr 0.0000 0.0000 0.5000
Zr 0.3333 0.6667 0.2500
Zr 0.6667 0.3333 0.7500
As 0.0000 0.5000 0.0000
As 0.0000 0.5000 0.5000
As 0.1580 0.3160 0.7500
As 0.1580 0.8420 0.7500
As 0.3160 0.1580 0.2500
As 0.5000 0.0000 0.0000
As 0.5000 0.0000 0.5000
As 0.5000 0.5000 0.0000
As 0.5000 0.5000 0.5000
As 0.6840 0.8420 0.7500
As 0.8420 0.1580 0.2500
As 0.8420 0.6840 0.2500

* ΔE_f: -0.800 eV per formula unit
* total energy: -23.30 eV/f.u.

=====

Entry 2:
The following is a GGA-PBE calculation of a geometry-optimized ZrAs2 structure, from the Alexandria database.

abc: 7.0217 7.0217 7.0217
angles: 146.58 131.06 60.56
Element x y z (fractional)
Zr 0.2155 0.2155 0.0000
Zr 0.7845 0.7845 0.0000
As 0.1207 0.3935 0.7273
As 0.3338 0.6065 0.7273
As 0.6662 0.3935 0.2727
As 0.8793 0.6065 0.2727

* ΔE_f: -1.511 eV per formula unit
* total energy: -19.36 eV/f.u.

=====

Entry 3:
The following is a GGA-PBE calculation of a geometry-optimized ZrAs2 structure, from the Alexandria database.

abc: 7.2666 7.2666 5.2093
angles: 90.00 90.00 151.14
Element x y z (fractional)
Zr 0.1892 0.8108 0.7500
Zr 0.8108 0.1892 0.2500
As 0.1640 0.8360 0.2500
As 0.4647 0.5353 0.2500
As 0.5353 0.4647 0.7500
As 0.8360 0.1640 0.7500

* ΔE_f: -1.486 eV per formula unit
* total energy: -19.33 eV/f.u.

=====

Entry 4:
The following is a GGA-PBE calculation of a geometry-optimized ZrAs3 structure, from the Alexandria database.

abc: 6.4409 8.7139 5.8225
angles: 90.00 90.00 90.00
Element x y z (fractional)
Zr 0.1403 0.2500 0.0942
Zr 0.3597 0.7500 0.5942
Zr 0.6403 0.2500 0.4058
Zr 0.8597 0.7500 0.9058
As 0.0358 0.2500 0.6123
As 0.2112 0.5544 0.9456
As 0.2112 0.9456 0.9456
As 0.2888 0.0544 0.4456
As 0.2888 0.4456 0.4456
As 0.4642 0.7500 0.1123
As 0.5359 0.2500 0.8877
As 0.7112 0.5544 0.5544
As 0.7112 0.9456 0.5544
As 0.7888 0.0544 0.0544
As 0.7888 0.4456 0.0544
As 0.9642 0.7500 0.3877

* ΔE_f: -1.714 eV per formula unit
* total energy: -24.21 eV/f.u.

=====

Entry 5:
The following is a GGA-PBE calculation of a geometry-optimized Zr3As5 structure, from the Alexandria database.

abc: 8.2553 8.2553 6.9380
angles: 95.87 95.87 134.20
Element x y z (fractional)
Zr 0.1749 0.8251 0.0000
Zr 0.1960 0.1960 0.7098
Zr 0.2617 0.7383 0.5000
Zr 0.7383 0.2617 0.5000
Zr 0.8040 0.8040 0.2902
Zr 0.8251 0.1749 0.0000
As 0.1027 0.3069 0.3707
As 0.1489 0.5008 0.8011
As 0.3069 0.1027 0.3707
As 0.3329 0.3329 0.1241
As 0.4992 0.8511 0.1989
As 0.5008 0.1489 0.8011
As 0.6671 0.6671 0.8759
As 0.6931 0.8973 0.6293
As 0.8511 0.4992 0.1989
As 0.8973 0.6931 0.6293

* ΔE to the lowest computed polymorph: 0.0116 eV/atom
* ΔE_f: -5.433 eV per formula unit
* total energy: -54.33 eV/f.u.

=====

Entry 6:
The following is a GGA-PBE calculation of a geometry-optimized ZrAs2 structure, from the Alexandria database.

abc: 5.4106 5.4106 5.4106
angles: 113.40 113.40 101.87
Element x y z (fractional)
Zr 0.2500 0.2500 0.0000
Zr 0.7500 0.7500 0.0000
As 0.1451 0.6451 0.7901
As 0.3549 0.1451 0.5000
As 0.6451 0.8549 0.5000
As 0.8549 0.3549 0.2099

* ΔE_f: -2.401 eV per formula unit
* total energy: -20.25 eV/f.u.